1.
VASP calculation (PBE-GGA) on an optimized crystal structure of YErSc.

abc: 5.4310 5.4310 3.4081
angles: 90.00 90.00 120.00
Last column: nearest neighbours and their distance in Å.
Space group P-6m2 (No. 187)
Symmetry-distinct sites (fractional):
Y (0.0000, 0.0000, 0.0000)  2 Y 3.41, 6 Er 3.57, 6 Sc 3.57
Er (0.6667, 0.3333, 0.5000)  3 Sc 3.14, 2 Er 3.41
Sc (0.3333, 0.6667, 0.5000)  3 Er 3.14, 2 Sc 3.41

- distance to the lowest polymorph of the same formula (eV per atom) = 0.028
- mass density (g cm⁻³) = 5.74
- DFT formation energy (kJ/mol of formula units) = 22
- crystal system = hexagonal

***

2.
VASP calculation (PBE-GGA) on an optimized crystal structure of Ca2La2Au.

abc: 7.7818 7.7818 6.0392
angles: 90.00 90.00 90.00
Last column: nearest neighbours and their distance in Å.
Space group P4/mbm (No. 127)
Symmetry-distinct sites (fractional):
Ca (0.1659, 0.3341, 0.0000)  1 Ca 3.65, 6 La 3.66-3.88
La (0.1467, 0.6467, 0.5000)  2 Au 2.98, 1 La 3.23
Au (0.0000, 0.0000, 0.5000)  4 La 2.98

- distance to the lowest polymorph of the same formula (eV per atom) = 0.000
- mass density (g cm⁻³) = 5.04
- DFT formation energy (kJ/mol of formula units) = -48
- crystal system = tetragonal

***

3.
VASP calculation (PBE-GGA) on an optimized crystal structure of TbSb4.

abc: 5.7637 5.7637 5.7637
angles: 90.00 90.00 90.00
Last column: nearest neighbours and their distance in Å.
Space group Pm-3m (No. 221)
Symmetry-distinct sites (fractional):
Tb (0.0000, 0.0000, 0.0000)  6 Sb 2.88
Sb (0.0000, 0.0000, 0.5000)  2 Tb 2.88
Sb (0.5000, 0.5000, 0.5000)  12 Sb 4.08

- mass density (g cm⁻³) = 5.60
- crystal system = cubic
- E_form (uncorrected) (eV per formula unit) = 2.72

***

4.
VASP calculation (PBE-GGA) on an optimized crystal structure of RbAlSn2.

abc: 4.5881 4.5881 22.9665
angles: 90.00 90.00 120.00
Last column: nearest neighbours and their distance in Å.
Space group R3m (No. 160, hexagonal axes)
Symmetry-distinct sites (fractional):
Rb (0.0000, 0.0000, 0.0000)  6 Sn 3.71-3.91, 1 Al 4.04
Al (0.0000, 0.0000, 0.8240)  6 Sn 2.84-2.89
Sn (0.0000, 0.0000, 0.2078)  3 Al 2.89
Sn (0.0000, 0.0000, 0.4466)  3 Al 2.84

- mass density (g cm⁻³) = 4.16
- DFT formation energy (kJ/mol of formula units) = -4
- crystal system = trigonal

***

5.
VASP calculation (PBE-GGA) on an optimized crystal structure of Sc3AuN.

abc: 5.4437 5.4848 6.0260
angles: 90.07 99.44 90.12
Last column: nearest neighbours and their distance in Å.
Space group P-1 (No. 2)
Symmetry-distinct sites (fractional):
Sc (0.1989, 0.3319, 0.2465)  2 N 2.21-2.24
Sc (0.2506, 0.8052, 0.5003)  2 N 2.16
Sc (0.3004, 0.3324, 0.7535)  2 N 2.21-2.25
Au (0.2507, 0.8476, 0.0008)  6 Sc 2.82-3.08
N (0.0000, 0.5000, 0.5000)  6 Sc 2.16-2.25
N (0.5000, 0.5000, 0.5000)  6 Sc 2.16-2.24

- mass density (g cm⁻³) = 6.47
- crystal system = triclinic
- E_form (uncorrected) (eV per formula unit) = -5.08

***

6.
VASP calculation (PBE-GGA) on an optimized crystal structure of CdReW.

abc: 2.7404 4.2739 8.5249
angles: 90.00 90.00 90.00
Last column: nearest neighbours and their distance in Å.
Space group Imm2 (No. 44)
Symmetry-distinct sites (fractional):
Cd (0.0000, 0.0000, 0.0000)  2 Cd 2.74, 5 W 2.81-2.93, 5 Re 2.82-2.92
Re (0.0000, 0.0000, 0.6691)  2 Re 2.74, 5 Cd 2.82-2.92, 5 W 2.88-2.90
W (0.0000, 0.0000, 0.3292)  2 W 2.74, 5 Cd 2.81-2.93, 5 Re 2.88-2.90

- distance to the lowest polymorph of the same formula (eV per atom) = 0.142
- mass density (g cm⁻³) = 16.05
- DFT formation energy (kJ/mol of formula units) = 168
- crystal system = orthorhombic

***

7.
VASP calculation (PBE-GGA) on an optimized crystal structure of TbTmCuGe.

abc: 6.9952 6.9952 6.9952
angles: 90.00 90.00 90.00
Last column: nearest neighbours and their distance in Å.
Space group F-43m (No. 216)
Symmetry-distinct sites (fractional):
Tb (0.0000, 0.0000, 0.0000)  4 Ge 3.03, 4 Cu 3.03
Tm (0.0000, 0.0000, 0.5000)  4 Ge 3.03, 4 Cu 3.03
Cu (0.2500, 0.2500, 0.2500)  4 Tb 3.03, 4 Tm 3.03
Ge (0.2500, 0.2500, 0.7500)  4 Tb 3.03, 4 Tm 3.03

- mass density (g cm⁻³) = 9.00
- DFT formation energy (kJ/mol of formula units) = -191
- crystal system = cubic

***

8.
VASP calculation (PBE-GGA) on an optimized crystal structure of SrC3.

abc: 4.8381 4.8381 4.8381
angles: 90.00 90.00 90.00
Last column: nearest neighbours and their distance in Å.
Space group Im-3m (No. 229)
Symmetry-distinct sites (fractional):
Sr (0.0000, 0.0000, 0.0000)  6 C 2.42
C (0.0000, 0.0000, 0.5000)  2 Sr 2.42, 4 C 2.42

- distance to the lowest polymorph of the same formula (eV per atom) = 2.606
- mass density (g cm⁻³) = 3.63
- DFT formation energy (kJ/mol of formula units) = 1233
- crystal system = cubic

***

9.
VASP calculation (PBE-GGA) on an optimized crystal structure of Pm19Ho6Er4.

abc: 12.6056 12.6056 12.6056
angles: 90.00 90.00 90.00
Last column: nearest neighbours and their distance in Å.
Space group I23 (No. 197)
Symmetry-distinct sites (fractional):
Pm (0.0000, 0.0000, 0.0000)  6 Pm 3.28
Pm (0.0000, 0.0000, 0.2601)  5 Pm 3.28-3.63, 2 Er 3.36, 2 Ho 3.41
Pm (0.0626, 0.2808, 0.7382)  1 Ho 3.21, 2 Er 3.37-3.47, 1 Pm 3.40
Ho (0.0000, 0.1253, 0.5000)  1 Ho 3.16, 4 Pm 3.21-3.41
Er (0.1796, 0.1796, 0.1796)  9 Pm 3.36-3.47

- mass density (g cm⁻³) = 7.32
- DFT formation energy (kJ/mol of formula units) = 1028
- crystal system = cubic

***

10.
VASP calculation (PBE-GGA) on an optimized crystal structure of LiCa2Rh2.

abc: 4.4242 5.3307 8.8158
angles: 90.00 90.00 90.00
Last column: nearest neighbours and their distance in Å.
Space group Immm (No. 71)
Symmetry-distinct sites (fractional):
Li (0.0000, 0.0000, 0.0000)  4 Rh 2.60
Ca (0.0000, 0.5000, 0.1949)  6 Rh 3.01-3.09, 2 Li 3.17
Rh (0.0000, 0.2452, 0.5000)  2 Li 2.60, 2 Rh 2.61-2.72

- distance to the lowest polymorph of the same formula (eV per atom) = 0.000
- mass density (g cm⁻³) = 4.68
- DFT formation energy (kJ/mol of formula units) = -159
- crystal system = orthorhombic

***

11.
VASP calculation (PBE-GGA) on an optimized crystal structure of K2AlH5.

abc: 5.8863 5.8863 7.4100
angles: 90.00 90.00 90.00
Last column: nearest neighbours and their distance in Å.
Space group I4mm (No. 107)
Symmetry-distinct sites (fractional):
K (0.0000, 0.5000, 0.0000)  10 H 2.72-2.94
Al (0.0000, 0.0000, 0.2777)  5 H 1.64-1.73
H (0.0000, 0.0000, 0.4997)  1 Al 1.64
H (0.2038, 0.2038, 0.2311)  1 Al 1.73

- DFT total energy (eV/cell) = -48.76
- mass density (g cm⁻³) = 1.43
- crystal system = tetragonal

***

12.
VASP calculation (PBE-GGA) on an optimized crystal structure of Hf2UTaC4.

abc: 5.7212 3.2935 5.7605
angles: 90.00 108.98 90.00
Last column: nearest neighbours and their distance in Å.
Space group P2/m (No. 10)
Symmetry-distinct sites (fractional):
Hf (0.0000, 0.0000, 0.0000)  6 C 2.32-2.35
Hf (0.0000, 0.5000, 0.5000)  6 C 2.38
U (0.5000, 0.0000, 0.5000)  6 C 2.32-2.37
Ta (0.5000, 0.5000, 0.0000)  6 C 2.29-2.31
C (0.2496, 0.5000, 0.2400)  1 Ta 2.29, 3 Hf 2.32-2.38, 2 U 2.37
C (0.2588, 0.0000, 0.7558)  2 Ta 2.31, 1 U 2.32, 3 Hf 2.35-2.38

- mass density (g cm⁻³) = 13.33
- DFT formation energy (kJ/mol of formula units) = -522
- crystal system = monoclinic

***

13.
VASP calculation (PBE-GGA) on an optimized crystal structure of Y4GaTc.

abc: 8.9818 13.1842 6.2735
angles: 90.00 119.74 90.00
Last column: nearest neighbours and their distance in Å.
Space group C2/c (No. 15)
Symmetry-distinct sites (fractional):
Y (0.1188, 0.1745, 0.0841)  2 Tc 2.93-2.94, 2 Ga 3.10-3.14
Y (0.2097, 0.4326, 0.3025)  2 Tc 2.87-2.92, 2 Ga 3.13-3.15
Ga (0.0000, 0.3683, 0.7500)  8 Y 3.10-3.15
Tc (0.0000, 0.0005, 0.7500)  8 Y 2.87-2.94, 2 Tc 3.14

- mass density (g cm⁻³) = 5.39
- DFT formation energy (kJ/mol of formula units) = -148
- crystal system = monoclinic

***

14.
VASP calculation (PBE-GGA) on an optimized crystal structure of Tl2NiSe.

abc: 7.1623 7.1623 7.1623
angles: 90.00 90.00 90.00
Last column: nearest neighbours and their distance in Å.
Space group F-43m (No. 216)
Symmetry-distinct sites (fractional):
Tl (0.0000, 0.0000, 0.0000)  4 Tl 3.10, 4 Ni 3.10
Tl (0.2500, 0.2500, 0.2500)  4 Tl 3.10, 4 Se 3.10
Ni (0.2500, 0.2500, 0.7500)  4 Tl 3.10, 4 Se 3.10
Se (0.0000, 0.0000, 0.5000)  4 Tl 3.10, 4 Ni 3.10

- distance to the lowest polymorph of the same formula (eV per atom) = 0.504
- mass density (g cm⁻³) = 9.88
- crystal system = cubic
- E_form (uncorrected) (eV per formula unit) = 1.33

***

15.
VASP calculation (PBE-GGA) on an optimized crystal structure of Sc2Zn2S.

abc: 5.3571 5.3571 7.1123
angles: 90.00 90.00 90.00
Last column: nearest neighbours and their distance in Å.
Space group I4/mmm (No. 139)
Symmetry-distinct sites (fractional):
Sc (0.0000, 0.5000, 0.2500)  4 Zn 2.76
Zn (0.0000, 0.0000, 0.1577)  1 Zn 2.24, 1 S 2.43
S (0.0000, 0.0000, 0.5000)  2 Zn 2.43

- distance to the lowest polymorph of the same formula (eV per atom) = 0.648
- mass density (g cm⁻³) = 4.11
- crystal system = tetragonal
- E_form (uncorrected) (eV per formula unit) = 0.01

***

16.
VASP calculation (PBE-GGA) on an optimized crystal structure of Ac3Si2H.

abc: 13.9995 6.3302 8.9614
angles: 90.00 108.67 90.00
Last column: nearest neighbours and their distance in Å.
Space group C2/c (No. 15)
Symmetry-distinct sites (fractional):
Ac (0.0000, 0.0270, 0.2500)  1 H 2.72
Ac (0.1677, 0.5004, 0.0840)  4 Si 3.15-3.17, 2 H 3.17
Si (0.1651, 0.0011, 0.0825)  6 Ac 3.14-3.17
H (0.0000, 0.4572, 0.2500)  1 Ac 2.72

- DFT total energy (eV/cell) = -115.31
- mass density (g cm⁻³) = 6.52
- crystal system = monoclinic

***

17.
VASP calculation (PBE-GGA) on an optimized crystal structure of AlZn2Se.

abc: 4.1598 4.1598 8.3180
angles: 90.00 90.00 90.00
Last column: nearest neighbours and their distance in Å.
Space group I-4m2 (No. 119)
Symmetry-distinct sites (fractional):
Al (0.0000, 0.0000, 0.0000)  4 Se 2.94, 8 Zn 2.94
Zn (0.0000, 0.0000, 0.5000)  4 Se 2.94, 4 Zn 2.94, 4 Al 2.94
Zn (0.0000, 0.5000, 0.2500)  4 Al 2.94, 4 Zn 2.94, 4 Se 2.94
Se (0.0000, 0.5000, 0.7500)  4 Al 2.94, 8 Zn 2.94

- distance to the lowest polymorph of the same formula (eV per atom) = 0.302
- mass density (g cm⁻³) = 5.46
- crystal system = tetragonal
- E_form (uncorrected) (eV per formula unit) = 0.64

***

18.
VASP calculation (PBE-GGA) on an optimized crystal structure of Li8Sb2Au.

abc: 4.6660 6.3586 13.5801
angles: 90.00 90.00 90.00
Last column: nearest neighbours and their distance in Å.
Space group Immm (No. 71)
Symmetry-distinct sites (fractional):
Li (0.0000, 0.0000, 0.1753)  8 Li 2.79-2.89, 2 Sb 3.09
Li (0.0000, 0.2367, 0.3479)  1 Au 2.66, 3 Li 2.79-2.89, 3 Sb 2.80-2.87
Li (0.0000, 0.2579, 0.0000)  2 Sb 2.84, 2 Au 2.85, 7 Li 2.89-3.12
Sb (0.0000, 0.5000, 0.1759)  10 Li 2.80-3.09
Au (0.0000, 0.5000, 0.5000)  8 Li 2.66-2.85

- mass density (g cm⁻³) = 4.09
- crystal system = orthorhombic
- E_form (uncorrected) (eV per formula unit) = -5.93

***

19.
VASP calculation (PBE-GGA) on an optimized crystal structure of YLu2Pu.

abc: 3.4666 3.4666 9.8168
angles: 90.00 90.00 90.00
Last column: nearest neighbours and their distance in Å.
Space group P4/mmm (No. 123)
Symmetry-distinct sites (fractional):
Y (0.0000, 0.0000, 0.0000)  4 Y 3.47, 8 Lu 3.52
Lu (0.5000, 0.5000, 0.2579)  4 Pu 3.41, 4 Lu 3.47, 4 Y 3.52
Pu (0.0000, 0.0000, 0.5000)  8 Lu 3.41, 4 Pu 3.47

- distance to the lowest polymorph of the same formula (eV per atom) = 0.000
- mass density (g cm⁻³) = 9.61
- DFT formation energy (kJ/mol of formula units) = 36
- crystal system = tetragonal

***

20.
VASP calculation (PBE-GGA) on an optimized crystal structure of ScBeB4.

abc: 5.7450 11.1198 3.1917
angles: 90.00 90.00 90.00
Last column: nearest neighbours and their distance in Å.
Space group Pbam (No. 55)
Symmetry-distinct sites (fractional):
Sc (0.1263, 0.1512, 0.0000)  14 B 2.47-2.61
Be (0.1330, 0.4134, 0.0000)  10 B 2.14-2.19
B (0.0244, 0.6934, 0.5000)  3 B 1.70-1.79
B (0.1135, 0.5474, 0.5000)  3 B 1.68-1.70
B (0.1343, 0.9684, 0.5000)  3 B 1.69-1.78
B (0.2126, 0.8138, 0.5000)  3 B 1.72-1.79

- mass density (g cm⁻³) = 3.17
- DFT formation energy (kJ/mol of formula units) = -292
- crystal system = orthorhombic